# 1
# PBE-GGA InAsBr2, optimized geometry
data_InAsBr2
_space_group_name_H-M_alt 'F m -3 m'
_space_group_IT_number 225
_space_group_name_Hall '-F 4 2 3'
_cell_length_a 7.629
_cell_length_b 7.629
_cell_length_c 7.629
_cell_angle_alpha 90.00
_cell_angle_beta 90.00
_cell_angle_gamma 90.00
loop_
_atom_site_label
_atom_site_type_symbol
_atom_site_fract_x
_atom_site_fract_y
_atom_site_fract_z
In1 In 0.000 0.000 0.000
As1 As 0.000 0.000 0.500
Br1 Br 0.250 0.250 0.250
# Raw formation energy (eV per atom): 0.210
# N(E_F) (states/eV/cell): 30.51


# 2
# PBE-GGA CsBeZn2, optimized geometry
data_CsBeZn2
_space_group_name_H-M_alt 'I 41/a m d'
_space_group_IT_number 141
_cell_length_a 6.252
_cell_length_b 6.252
_cell_length_c 12.687
_cell_angle_alpha 90.00
_cell_angle_beta 90.00
_cell_angle_gamma 90.00
loop_
_space_group_symop_operation_xyz
'x,y,z'
'-x,-y,-z'
'-y+1/4,x+3/4,z+1/4'
'y+1/4,-x+3/4,-z+1/4'
'-x+1/2,-y,z+1/2'
'x+1/2,y,-z+1/2'
'y+1/4,-x+1/4,z+3/4'
'-y+1/4,x+1/4,-z+3/4'
'x,-y,-z'
'-x,y,z'
'-y+1/4,-x+1/4,-z+3/4'
'y+1/4,x+1/4,z+3/4'
'-x+1/2,y,-z+1/2'
'x+1/2,-y,z+1/2'
'y+1/4,x+3/4,-z+1/4'
'-y+1/4,-x+3/4,z+1/4'
'x+1/2,y+1/2,z+1/2'
'-x+1/2,-y+1/2,-z+1/2'
'-y+3/4,x+1/4,z+3/4'
'y+3/4,-x+1/4,-z+3/4'
'-x,-y+1/2,z'
'x,y+1/2,-z'
'y+3/4,-x+3/4,z+1/4'
'-y+3/4,x+3/4,-z+1/4'
'x+1/2,-y+1/2,-z+1/2'
'-x+1/2,y+1/2,z+1/2'
'-y+3/4,-x+3/4,-z+1/4'
'y+3/4,x+3/4,z+1/4'
'-x,y+1/2,-z'
'x,-y+1/2,z'
'y+3/4,x+1/4,-z+3/4'
'-y+3/4,-x+1/4,z+3/4'
loop_
_atom_site_label
_atom_site_type_symbol
_atom_site_fract_x
_atom_site_fract_y
_atom_site_fract_z
Cs1 Cs 0.000 0.250 0.375
Be1 Be 0.000 0.250 0.875
Zn1 Zn 0.000 0.000 0.000
# Formation enthalpy at 0 K (eV per atom): 0.350
# N(E_F) (states/eV/cell): 14.37


# 3
# PBE-GGA LaTiBi3, optimized geometry
data_LaTiBi3
_space_group_name_H-M_alt 'P m -3 m'
_space_group_IT_number 221
_space_group_name_Hall '-P 4 2 3'
_cell_length_a 6.040
_cell_length_b 6.040
_cell_length_c 6.040
_cell_angle_alpha 90.00
_cell_angle_beta 90.00
_cell_angle_gamma 90.00
loop_
_atom_site_label
_atom_site_type_symbol
_atom_site_fract_x
_atom_site_fract_y
_atom_site_fract_z
La1 La 0.000 0.000 0.000
Ti1 Ti 0.500 0.500 0.500
Bi1 Bi 0.000 0.000 0.500
# Formation enthalpy at 0 K (eV per atom): 1.032
# N(E_F) (states/eV/cell): 15.21


# 4
# PBE-GGA Pr4InGe2, optimized geometry
data_Pr4InGe2
_space_group_name_H-M_alt 'F d d 2'
_space_group_IT_number 43
_space_group_name_Hall 'F 2 -2d'
_cell_length_a 13.261
_cell_length_b 13.293
_cell_length_c 9.376
_cell_angle_alpha 90.00
_cell_angle_beta 90.00
_cell_angle_gamma 90.00
loop_
_atom_site_label
_atom_site_type_symbol
_atom_site_fract_x
_atom_site_fract_y
_atom_site_fract_z
Pr1 Pr 0.052 0.122 0.000
Pr2 Pr 0.123 0.448 0.870
In1 In 0.000 0.000 0.685
Ge1 Ge 0.060 0.190 0.310
# Formation enthalpy at 0 K (eV per atom): -0.614
# N(E_F) (states/eV/cell): 59.54


# 5
# PBE-GGA Ba2CoAg, optimized geometry
data_Ba2CoAg
_space_group_name_H-M_alt 'C m m m'
_space_group_IT_number 65
_space_group_name_Hall '-C 2 2'
_cell_length_a 7.969
_cell_length_b 7.980
_cell_length_c 3.960
_cell_angle_alpha 90.00
_cell_angle_beta 90.00
_cell_angle_gamma 90.00
loop_
_atom_site_label
_atom_site_type_symbol
_atom_site_fract_x
_atom_site_fract_y
_atom_site_fract_z
Ba1 Ba 0.250 0.250 0.000
Co1 Co 0.000 0.000 0.500
Ag1 Ag 0.000 0.500 0.500
# Formation enthalpy at 0 K (eV per atom): 0.271
# N(E_F) (states/eV/cell): 15.33


# 6
# PBE-GGA LiZr2Sc, optimized geometry
data_LiZr2Sc
_space_group_name_H-M_alt 'I 4/m m m'
_space_group_IT_number 139
_space_group_name_Hall '-I 4 2'
_cell_length_a 4.298
_cell_length_b 4.298
_cell_length_c 9.365
_cell_angle_alpha 90.00
_cell_angle_beta 90.00
_cell_angle_gamma 90.00
loop_
_atom_site_label
_atom_site_type_symbol
_atom_site_fract_x
_atom_site_fract_y
_atom_site_fract_z
Li1 Li 0.000 0.000 0.000
Zr1 Zr 0.000 0.500 0.250
Sc1 Sc 0.000 0.000 0.500
# Formation enthalpy at 0 K (eV per atom): 0.204
# N(E_F) (states/eV/cell): 11.88


# 7
# PBE-GGA SrCd, optimized geometry
data_SrCd
_space_group_name_H-M_alt 'F d d d'
_space_group_IT_number 70
_cell_length_a 6.537
_cell_length_b 10.050
_cell_length_c 17.063
_cell_angle_alpha 90.00
_cell_angle_beta 90.00
_cell_angle_gamma 90.00
loop_
_space_group_symop_operation_xyz
'x,y,z'
'-x,-y,-z'
'-x+1/4,-y+1/4,z'
'x+1/4,y+1/4,-z'
'x,-y+1/4,-z+1/4'
'-x,y+1/4,z+1/4'
'-x+1/4,y,-z+1/4'
'x+1/4,-y,z+1/4'
'x,y+1/2,z+1/2'
'-x,-y+1/2,-z+1/2'
'-x+1/4,-y+3/4,z+1/2'
'x+1/4,y+3/4,-z+1/2'
'x,-y+3/4,-z+3/4'
'-x,y+3/4,z+3/4'
'-x+1/4,y+1/2,-z+3/4'
'x+1/4,-y+1/2,z+3/4'
'x+1/2,y,z+1/2'
'-x+1/2,-y,-z+1/2'
'-x+3/4,-y+1/4,z+1/2'
'x+3/4,y+1/4,-z+1/2'
'x+1/2,-y+1/4,-z+3/4'
'-x+1/2,y+1/4,z+3/4'
'-x+3/4,y,-z+3/4'
'x+3/4,-y,z+3/4'
'x+1/2,y+1/2,z'
'-x+1/2,-y+1/2,-z'
'-x+3/4,-y+3/4,z'
'x+3/4,y+3/4,-z'
'x+1/2,-y+3/4,-z+1/4'
'-x+1/2,y+3/4,z+1/4'
'-x+3/4,y+1/2,-z+1/4'
'x+3/4,-y+1/2,z+1/4'
loop_
_atom_site_label
_atom_site_type_symbol
_atom_site_fract_x
_atom_site_fract_y
_atom_site_fract_z
Sr1 Sr 0.125 0.301 0.125
Cd1 Cd 0.125 0.125 0.542
# Formation enthalpy at 0 K (eV per atom): -0.120
# N(E_F) (states/eV/cell): 23.91


# 8
# PBE-GGA Rb2BePtO4, optimized geometry
data_Rb2BePtO4
_space_group_name_H-M_alt 'F d d d'
_space_group_IT_number 70
_cell_length_a 5.293
_cell_length_b 11.864
_cell_length_c 19.687
_cell_angle_alpha 90.00
_cell_angle_beta 90.00
_cell_angle_gamma 90.00
loop_
_space_group_symop_operation_xyz
'x,y,z'
'-x,-y,-z'
'-x+1/4,-y+1/4,z'
'x+1/4,y+1/4,-z'
'x,-y+1/4,-z+1/4'
'-x,y+1/4,z+1/4'
'-x+1/4,y,-z+1/4'
'x+1/4,-y,z+1/4'
'x,y+1/2,z+1/2'
'-x,-y+1/2,-z+1/2'
'-x+1/4,-y+3/4,z+1/2'
'x+1/4,y+3/4,-z+1/2'
'x,-y+3/4,-z+3/4'
'-x,y+3/4,z+3/4'
'-x+1/4,y+1/2,-z+3/4'
'x+1/4,-y+1/2,z+3/4'
'x+1/2,y,z+1/2'
'-x+1/2,-y,-z+1/2'
'-x+3/4,-y+1/4,z+1/2'
'x+3/4,y+1/4,-z+1/2'
'x+1/2,-y+1/4,-z+3/4'
'-x+1/2,y+1/4,z+3/4'
'-x+3/4,y,-z+3/4'
'x+3/4,-y,z+3/4'
'x+1/2,y+1/2,z'
'-x+1/2,-y+1/2,-z'
'-x+3/4,-y+3/4,z'
'x+3/4,y+3/4,-z'
'x+1/2,-y+3/4,-z+1/4'
'-x+1/2,y+3/4,z+1/4'
'-x+3/4,y+1/2,-z+1/4'
'x+3/4,-y+1/2,z+1/4'
loop_
_atom_site_label
_atom_site_type_symbol
_atom_site_fract_x
_atom_site_fract_y
_atom_site_fract_z
Rb1 Rb 0.125 0.125 0.300
Be1 Be 0.125 0.125 0.125
Pt1 Pt 0.125 0.125 0.625
O1 O 0.081 0.300 0.416
# Raw formation energy (eV per atom): -1.300


Number 1: raw total energy -2.47 eV per atom. Number 2: raw total energy -1.43 eV per atom. Number 3: raw total energy -3.86 eV per atom. Number 4: raw total energy -5.06 eV per atom. Number 5: raw total energy -3.18 eV per atom. Number 6: raw total energy -6.13 eV per atom. Number 7: raw total energy -1.42 eV per atom. Number 8: raw total energy -5.24 eV per atom.